LiMnHg2 GGA-PBEsol optimized geometry; raw total energy = -12.6 eV per formula unit
1.0
-3.854 0.896 -2.384
-4.122 -1.085 1.781
-2.861 3.344 1.406
Mn Li Hg
1 1 2
Cartesian
-2.709 0.789 0.201
-5.419 1.578 0.401
0.000 0.000 0.000
-8.128 2.366 0.602


RbRe2MoI GGA-PBEsol optimized geometry; raw total energy = -21.2 eV per formula unit; E_form (uncorrected) = 4.002 eV per atom
1.0
4.695 0.000 0.000
0.000 4.755 0.000
0.000 0.000 4.755
Re I Rb Mo
2 1 1 1
Cartesian
0.000 2.378 0.000
0.000 0.000 2.378
2.347 2.378 2.378
0.000 0.000 0.000
2.347 0.000 0.000


ScCdPb2 GGA-PBEsol optimized geometry; raw total energy = -16.6 eV per formula unit
1.0
3.448 0.000 0.000
0.000 5.245 -0.037
-1.724 -1.895 5.389
Sc Pb Cd
1 2 1
Cartesian
0.000 1.093 5.303
0.000 2.629 2.557
0.000 0.303 0.057
1.724 0.051 2.805


TiTcAgRh2 GGA-PBEsol optimized geometry; raw total energy = -29.5 eV per formula unit
1.0
4.628 0.000 0.000
0.000 4.658 0.000
0.000 0.000 4.658
Ti Rh Ag Tc
1 2 1 1
Cartesian
2.314 2.329 2.329
0.000 2.329 0.000
0.000 0.000 2.329
0.000 0.000 0.000
2.314 0.000 0.000


LiAgPb GGA-PBEsol optimized geometry; offset from the most stable computed form = 0.188 eV per atom; raw total energy = -9.2 eV per formula unit
1.0
-3.962 0.443 1.921
-3.685 -0.769 -2.326
-2.454 -3.580 0.862
Li Pb Ag
1 1 1
Cartesian
-2.525 -0.976 0.114
0.000 0.000 0.000
-5.051 -1.953 0.229


KAuSe2 GGA-PBEsol optimized geometry; raw total energy = -14.9 eV per formula unit; E_form (uncorrected) = -0.547 eV per atom
1.0
-3.655 -0.805 0.774
-0.235 -4.552 3.594
-1.440 2.572 5.316
Se Au K
2 1 1
Cartesian
-0.905 -1.934 3.153
-4.425 -0.851 6.532
-2.665 -1.393 4.842
-1.828 -0.403 0.387


CsRbYH2 GGA-PBEsol optimized geometry; raw total energy = -12.8 eV per formula unit
1.0
-0.322 -4.522 0.802
4.545 -0.198 0.710
-0.993 1.261 6.711
Y H Rb Cs
1 2 1 1
Cartesian
0.000 0.000 0.000
2.272 -0.099 0.355
-0.161 -2.261 0.401
1.615 -1.730 4.111
-0.497 0.630 3.355


Mg3Bi2 GGA-PBEsol optimized geometry; offset from the most stable computed form = 0.035 eV per atom; raw total energy = -14.7 eV per formula unit
1.0
11.789 0.000 0.000
-3.930 11.115 0.000
-3.930 -5.557 9.625
Mg Bi
24 16
Cartesian
-3.004 0.009 4.997
4.939 2.644 4.948
-1.010 2.913 4.677
3.083 8.355 0.136
0.847 -2.798 9.490
10.641 2.692 0.048
-6.712 2.866 9.577
6.850 5.608 0.184
-2.782 -4.170 7.319
-2.920 -0.050 9.441
2.920 8.151 4.764
4.776 -1.262 2.458
1.147 1.304 2.355
7.012 1.497 2.322
4.855 -1.234 7.119
0.926 1.225 7.135
-0.926 6.792 2.506
6.933 5.548 4.629
-3.083 4.060 7.304
3.004 4.332 2.491
2.782 4.253 7.270
1.010 -2.594 4.861
-0.847 6.819 7.168
6.712 9.727 2.307
-3.930 2.779 4.813
4.028 1.529 2.406
3.930 5.557 0.000
4.028 5.487 4.934
3.930 -2.779 4.813
0.099 4.098 2.285
-3.831 7.086 2.406
7.760 -1.529 7.219
3.831 -2.709 9.504
3.831 1.459 7.340
-0.099 4.028 7.219
-3.831 6.877 7.098
-0.099 0.070 4.692
0.000 0.000 0.000
0.099 8.266 0.121
7.760 -1.319 2.527


Number 1: volume 69.7 Å³ per cell, size of the total moment 4.059 Bohr magnetons per cell. Number 2: volume 106.2 Å³ per cell, size of the total moment 1.262 Bohr magnetons per cell. Number 3: volume 97.2 Å³ per cell, size of the total moment 0.000 Bohr magnetons per cell. Number 4: volume 100.4 Å³ per cell, size of the total moment 1.957 Bohr magnetons per cell. Number 5: volume 61.3 Å³ per cell, size of the total moment 0.000 Bohr magnetons per cell. Number 6: volume 119.9 Å³ per cell, size of the total moment 0.000 Bohr magnetons per cell. Number 7: volume 146.3 Å³ per cell, size of the total moment 0.001 Bohr magnetons per cell. Number 8: volume 1261.2 Å³ per cell, size of the total moment 0.000 Bohr magnetons per cell.